No. 1
Computed, not measured: crystalline Dy4In3Ag at its relaxed geometry at the PBE-GGA level of DFT.

Geometry as CIF:
```
data_Dy4In3Ag
_chemical_formula_sum 'Dy4 In3 Ag1'
_cell_length_a 3.568
_cell_length_b 3.568
_cell_length_c 16.271
_cell_angle_alpha 90.00
_cell_angle_beta 90.00
_cell_angle_gamma 90.00
_symmetry_space_group_name_H-M 'P 4/m m m'
_symmetry_Int_Tables_number 123
_symmetry_space_group_name_Hall '-P 4 2'
loop_
_atom_site_label
_atom_site_fract_x
_atom_site_fract_y
_atom_site_fract_z
_atom_site_occupancy
Dy1 0.000 0.000 0.114 1
Dy2 0.000 0.000 0.371 1
In1 0.500 0.500 0.241 1
In2 0.500 0.500 0.500 1
Ag1 0.500 0.500 0.000 1
```

Fermi-level density of states, states/eV per cell: 4.73
Formation enthalpy at 0 K, eV/atom: -0.4340

No. 2
Computed, not measured: crystalline Dy3In2Ag2 at its relaxed geometry at the PBE-GGA level of DFT.

Geometry as CIF:
```
data_Dy3In2Ag2
_chemical_formula_sum 'Dy6 In4 Ag4'
_cell_length_a 4.565
_cell_length_b 21.733
_cell_length_c 3.473
_cell_angle_alpha 90.00
_cell_angle_beta 90.00
_cell_angle_gamma 90.00
_symmetry_space_group_name_H-M 'C m m m'
_symmetry_Int_Tables_number 65
_symmetry_space_group_name_Hall '-C 2 2'
loop_
_atom_site_label
_atom_site_fract_x
_atom_site_fract_y
_atom_site_fract_z
_atom_site_occupancy
Dy1 0.000 0.000 0.000 1
Dy2 0.000 0.160 0.000 1
In1 0.000 0.423 0.500 1
Ag1 0.000 0.286 0.500 1
```

Fermi-level density of states, states/eV per cell: 11.70
Formation enthalpy at 0 K, eV/atom: -0.3836

No. 3
Computed, not measured: crystalline DyIn2Ag at its relaxed geometry at the PBE-GGA level of DFT.

Geometry as CIF:
```
data_DyIn2Ag
_chemical_formula_sum 'Dy4 In8 Ag4'
_cell_length_a 4.704
_cell_length_b 4.704
_cell_length_c 16.881
_cell_angle_alpha 90.00
_cell_angle_beta 90.00
_cell_angle_gamma 90.00
_symmetry_space_group_name_H-M 'I 4/m m m'
_symmetry_Int_Tables_number 139
_symmetry_space_group_name_Hall '-I 4 2'
loop_
_atom_site_label
_atom_site_fract_x
_atom_site_fract_y
_atom_site_fract_z
_atom_site_occupancy
Dy1 0.000 0.000 0.130 1
In1 0.000 0.000 0.355 1
In2 0.000 0.500 0.000 1
Ag1 0.000 0.500 0.250 1
```

Fermi-level density of states, states/eV per cell: 5.22
Formation enthalpy at 0 K, eV/atom: -0.3784

No. 4
Computed, not measured: crystalline DyIn2Ag at its relaxed geometry at the PBE-GGA level of DFT.

Geometry as CIF:
```
data_DyIn2Ag
_chemical_formula_sum 'Dy2 In4 Ag2'
_cell_length_a 4.639
_cell_length_b 4.639
_cell_length_c 8.869
_cell_angle_alpha 90.00
_cell_angle_beta 90.00
_cell_angle_gamma 90.00
_symmetry_space_group_name_H-M 'P 4/n m m'
_symmetry_Int_Tables_number 129
loop_
_symmetry_equiv_pos_as_xyz
'x,y,z'
'-x,-y,-z'
'-y+1/2,x,z'
'y+1/2,-x,-z'
'-x+1/2,-y+1/2,z'
'x+1/2,y+1/2,-z'
'y,-x+1/2,z'
'-y,x+1/2,-z'
'x+1/2,-y,-z'
'-x+1/2,y,z'
'-y,-x,-z'
'y,x,z'
'-x,y+1/2,-z'
'x,-y+1/2,z'
'y+1/2,x+1/2,-z'
'-y+1/2,-x+1/2,z'
loop_
_atom_site_label
_atom_site_fract_x
_atom_site_fract_y
_atom_site_fract_z
_atom_site_occupancy
Dy1 0.250 0.250 0.232 1
In1 0.250 0.250 0.788 1
In2 0.250 0.750 0.500 1
Ag1 0.250 0.750 0.000 1
```

Fermi-level density of states, states/eV per cell: 5.01
Formation enthalpy at 0 K, eV/atom: -0.2858

No. 5
Computed, not measured: crystalline Dy2In3Ag at its relaxed geometry at the PBE-GGA level of DFT.

Geometry as CIF:
```
data_Dy2In3Ag
_chemical_formula_sum 'Dy2 In3 Ag1'
_cell_length_a 3.550
_cell_length_b 4.898
_cell_length_c 8.494
_cell_angle_alpha 90.00
_cell_angle_beta 90.00
_cell_angle_gamma 90.00
_symmetry_space_group_name_H-M 'P m m 2'
_symmetry_Int_Tables_number 25
_symmetry_space_group_name_Hall 'P 2 -2'
loop_
_atom_site_label
_atom_site_fract_x
_atom_site_fract_y
_atom_site_fract_z
_atom_site_occupancy
Dy1 0.000 0.000 0.000 1
Dy2 0.000 0.500 0.496 1
In1 0.500 0.000 0.653 1
In2 0.500 0.500 0.173 1
In3 0.500 0.500 0.834 1
Ag1 0.500 0.000 0.326 1
```

Fermi-level density of states, states/eV per cell: 3.99
Formation enthalpy at 0 K, eV/atom: -0.4136

No. 6
Computed, not measured: crystalline Dy2In3Ag4 at its relaxed geometry at the PBE-GGA level of DFT.

Geometry as CIF:
```
data_Dy2In3Ag4
_chemical_formula_sum 'Dy8 In12 Ag16'
_cell_length_a 6.005
_cell_length_b 17.063
_cell_length_c 7.989
_cell_angle_alpha 90.00
_cell_angle_beta 90.00
_cell_angle_gamma 90.00
_symmetry_space_group_name_H-M 'C m c e'
_symmetry_Int_Tables_number 64
_symmetry_space_group_name_Hall '-C 2ac 2'
loop_
_atom_site_label
_atom_site_fract_x
_atom_site_fract_y
_atom_site_fract_z
_atom_site_occupancy
Dy1 0.000 0.097 0.106 1
In1 0.000 0.000 0.500 1
In2 0.250 0.241 0.750 1
Ag1 0.000 0.165 0.483 1
Ag2 0.250 0.071 0.750 1
```

Fermi-level density of states, states/eV per cell: 22.01
Formation enthalpy at 0 K, eV/atom: -0.2237

No. 7
Computed, not measured: crystalline Dy12In6Ag at its relaxed geometry at the PBE-GGA level of DFT.

Geometry as CIF:
```
data_Dy12In6Ag
_chemical_formula_sum 'Dy36 In18 Ag3'
_cell_length_a 13.5082
_cell_length_b 13.5082
_cell_length_c 12.2145
_cell_angle_alpha 90.00
_cell_angle_beta 90.00
_cell_angle_gamma 120.00
_symmetry_space_group_name_H-M 'R -3'
_symmetry_Int_Tables_number 148
_symmetry_space_group_name_Hall '-R 3'
loop_
_atom_site_label
_atom_site_fract_x
_atom_site_fract_y
_atom_site_fract_z
_atom_site_occupancy
Dy1 0.0364 0.8262 0.3913 1
Dy2 0.0530 0.8445 0.8881 1
In1 0.0500 0.7806 0.6459 1
Ag1 0.0000 0.0000 0.0000 1
```

Fermi-level density of states, states/eV per cell: 66.72
Formation enthalpy at 0 K, eV/atom: 0.0026

No. 8
Computed, not measured: crystalline Dy5InAg4 at its relaxed geometry at the PBE-GGA level of DFT.

Geometry as CIF:
```
data_Dy5InAg4
_chemical_formula_sum 'Dy5 In1 Ag4'
_cell_length_a 3.614
_cell_length_b 3.614
_cell_length_c 18.796
_cell_angle_alpha 90.00
_cell_angle_beta 90.00
_cell_angle_gamma 90.00
_symmetry_space_group_name_H-M 'P 4/m m m'
_symmetry_Int_Tables_number 123
_symmetry_space_group_name_Hall '-P 4 2'
loop_
_atom_site_label
_atom_site_fract_x
_atom_site_fract_y
_atom_site_fract_z
_atom_site_occupancy
Dy1 0.000 0.000 0.000 1
Dy2 0.000 0.000 0.196 1
Dy3 0.000 0.000 0.392 1
In1 0.500 0.500 0.500 1
Ag1 0.500 0.500 0.097 1
Ag2 0.500 0.500 0.294 1
```

Fermi-level density of states, states/eV per cell: 7.83
Formation enthalpy at 0 K, eV/atom: -0.3505

No. 9
Computed, not measured: crystalline DyIn2Ag at its relaxed geometry at the PBE-GGA level of DFT.

Geometry as CIF:
```
data_DyIn2Ag
_chemical_formula_sum 'Dy1 In2 Ag1'
_cell_length_a 3.556
_cell_length_b 3.556
_cell_length_c 7.451
_cell_angle_alpha 90.00
_cell_angle_beta 90.00
_cell_angle_gamma 90.00
_symmetry_space_group_name_H-M 'P 4/m m m'
_symmetry_Int_Tables_number 123
_symmetry_space_group_name_Hall '-P 4 2'
loop_
_atom_site_label
_atom_site_fract_x
_atom_site_fract_y
_atom_site_fract_z
_atom_site_occupancy
Dy1 0.000 0.000 0.000 1
In1 0.500 0.500 0.281 1
Ag1 0.000 0.000 0.500 1
```

Fermi-level density of states, states/eV per cell: 3.01
Formation enthalpy at 0 K, eV/atom: -0.2317

No. 10
Computed, not measured: crystalline DyIn2Ag at its relaxed geometry at the PBE-GGA level of DFT.

Geometry as CIF:
```
data_DyIn2Ag
_chemical_formula_sum 'Dy4 In8 Ag4'
_cell_length_a 7.223
_cell_length_b 7.223
_cell_length_c 7.223
_cell_angle_alpha 90.00
_cell_angle_beta 90.00
_cell_angle_gamma 90.00
_symmetry_space_group_name_H-M 'F m -3 m'
_symmetry_Int_Tables_number 225
_symmetry_space_group_name_Hall '-F 4 2 3'
loop_
_atom_site_label
_atom_site_fract_x
_atom_site_fract_y
_atom_site_fract_z
_atom_site_occupancy
Dy1 0.000 0.000 0.000 1
In1 0.250 0.250 0.250 1
Ag1 0.000 0.000 0.500 1
```

Fermi-level density of states, states/eV per cell: 3.82
Formation enthalpy at 0 K, eV/atom: -0.2523

No. 11
Computed, not measured: crystalline DyInAg4 at its relaxed geometry at the PBE-GGA level of DFT.

Geometry as CIF:
```
data_DyInAg4
_chemical_formula_sum 'Dy4 In4 Ag16'
_cell_length_a 7.912
_cell_length_b 7.912
_cell_length_c 7.912
_cell_angle_alpha 90.00
_cell_angle_beta 90.00
_cell_angle_gamma 90.00
_symmetry_space_group_name_H-M 'F -4 3 m'
_symmetry_Int_Tables_number 216
_symmetry_space_group_name_Hall 'F -4 2 3'
loop_
_atom_site_label
_atom_site_fract_x
_atom_site_fract_y
_atom_site_fract_z
_atom_site_occupancy
Dy1 0.000 0.000 0.000 1
In1 0.250 0.250 0.250 1
Ag1 0.125 0.125 0.625 1
```

Fermi-level density of states, states/eV per cell: 8.81
Formation enthalpy at 0 K, eV/atom: -0.2206

No. 12
Computed, not measured: crystalline Dy7InAg4 at its relaxed geometry at the PBE-GGA level of DFT.

Geometry as CIF:
```
data_Dy7InAg4
_chemical_formula_sum 'Dy14 In2 Ag8'
_cell_length_a 14.460
_cell_length_b 5.698
_cell_length_c 9.016
_cell_angle_alpha 90.00
_cell_angle_beta 119.39
_cell_angle_gamma 90.00
_symmetry_space_group_name_H-M 'C 1 2/m 1'
_symmetry_Int_Tables_number 12
_symmetry_space_group_name_Hall '-C 2y'
loop_
_atom_site_label
_atom_site_fract_x
_atom_site_fract_y
_atom_site_fract_z
_atom_site_occupancy
Dy1 0.000 0.000 0.000 1
Dy2 0.077 0.500 0.402 1
Dy3 0.177 0.500 0.880 1
Dy4 0.215 0.000 0.672 1
In1 0.000 0.500 0.000 1
Ag1 0.020 0.000 0.681 1
Ag2 0.193 0.000 0.329 1
```

Fermi-level density of states, states/eV per cell: 26.34
Formation enthalpy at 0 K, eV/atom: -0.0807

no.,energy (eV per atom),calculated volume (Å³/cell)
1,-4.12,207
2,-3.95,345
3,-3.61,373
4,-3.52,191
5,-3.79,148
6,-3.43,819
7,-3.92,1930
8,-4.07,246
9,-3.46,94
10,-3.48,377
11,-3.34,495
12,-3.94,647